Computed, not measured: a relaxed structure of SmNp3Sb4 at the GGA-PBE level of DFT.

- space group = No. 13
- DOS(E_F) (states/eV per cell) = 68.309
- E (eV per atom) = -7.92

a b c (Å): 7.613 7.715 8.797
angles (deg): 90.00 90.00 109.25
Site moments in Bohr magnetons follow the coordinates.
Positions (direct):
Sb1 0.501 0.746 0.127  0.04
Sb2 0.002 0.251 0.623  0.02
Sb3 0.999 0.254 0.127  0.04
Sb4 0.998 0.749 0.377  0.02
Sb5 0.498 0.749 0.623  0.02
Sb6 0.001 0.746 0.873  0.04
Sb7 0.499 0.254 0.873  0.04
Sb8 0.502 0.251 0.377  0.02
Np1 0.750 0.000 0.375  3.92
Np2 0.750 0.500 0.626  -3.91
Np3 0.250 0.500 0.876  -3.91
Np4 0.750 0.500 0.124  -3.91
Np5 0.250 0.000 0.625  3.92
Np6 0.250 0.500 0.374  -3.91
Sm1 0.750 0.000 0.875  0.01
Sm2 0.250 0.000 0.125  0.01

=====

Computed, not measured: a relaxed structure of TbSeS at the GGA-PBE level of DFT.

- energy relative to the lowest polymorph listed for this composition (eV per atom) = 0.377
- space group = No. 156
- DOS(E_F) (states/eV per cell) = 2.967

a b c (Å): 5.723 4.145 4.145
angles (deg): 120.00 90.00 90.00
Positions (direct):
Tb1 0.982 0.000 0.000
S1 0.756 0.333 0.667
Se1 0.262 0.667 0.333

=====

Computed, not measured: a relaxed structure of CoTcSb2 at the GGA-PBE level of DFT.

- energy relative to the lowest polymorph listed for this composition (eV per atom) = 0.000
- space group = No. 38
- DOS(E_F) (states/eV per cell) = 3.357

a b c (Å): 5.329 5.329 4.044
angles (deg): 90.01 90.01 37.75
Positions (direct):
Tc1 0.450 0.450 0.625
Co1 0.288 0.288 0.125
Sb1 0.029 0.029 0.125
Sb2 0.733 0.733 0.625

=====

Computed, not measured: a relaxed structure of PmGdCuIr at the GGA-PBE level of DFT.

- space group = No. 216
- DOS(E_F) (states/eV per cell) = 3.052
- formation energy from the elements (meV/atom) = -489

a b c (Å): 4.964 4.964 4.964
angles (deg): 60.00 60.00 60.00
Site moments in Bohr magnetons follow the coordinates.
Positions (direct):
Cu1 0.000 0.000 0.000  0.00
Pm1 0.750 0.750 0.750  0.03
Ir1 0.500 0.500 0.500  -0.05
Gd1 0.250 0.250 0.250  7.01

=====

Computed, not measured: a relaxed structure of TlAgF2 at the GGA-PBE level of DFT.

- energy relative to the lowest polymorph listed for this composition (eV per atom) = 0.000
- space group = No. 166
- DOS(E_F) (states/eV per cell) = 0.000

a b c (Å): 7.499 7.499 7.499
angles (deg): 31.58 31.58 31.58
Positions (direct):
F1 0.097 0.097 0.097
F2 0.903 0.903 0.903
Ag1 0.000 0.000 0.000
Tl1 0.500 0.500 0.500

=====

Computed, not measured: a relaxed structure of RbIrF5 at the GGA-PBE level of DFT.

- space group = No. 15
- DOS(E_F) (states/eV per cell) = 2.269
- E (eV per atom) = -4.67

a b c (Å): 5.700 5.700 9.357
angles (deg): 91.69 125.43 90.00
Site moments in Bohr magnetons follow the coordinates.
Positions (direct):
F1 0.809 0.287 0.993  0.07
F2 0.339 0.089 0.250  0.00
F3 0.222 0.171 0.938  0.07
F4 0.733 0.284 0.562  0.07
F5 0.778 0.829 0.062  0.07
F6 0.206 0.184 0.493  0.07
F7 0.661 0.911 0.750  0.00
F8 0.794 0.816 0.507  0.07
F9 0.267 0.716 0.438  0.07
F10 0.191 0.713 0.007  0.07
Rb1 0.283 0.533 0.750  0.00
Rb2 0.717 0.467 0.250  0.00
Ir1 0.000 0.000 0.000  0.69
Ir2 0.500 0.000 0.500  0.69